Record 1
## Fe13Ge3 (SCAN)

Data for a crystal of Fe13Ge3 relaxed with PBEsol.

Cell lengths 5.6157, 5.6157, 5.6157 Å; angles 90.00, 90.00, 90.00 degrees
Fractional positions:
1 Ge 0.0000 0.5000 0.5000
2 Ge 0.5000 0.5000 0.0000
3 Fe 0.5000 0.0000 0.0000
4 Fe 0.2477 0.2477 0.2477
5 Fe 0.2477 0.7523 0.2477
6 Fe 0.2477 0.7523 0.7523
7 Fe 0.0000 0.5000 0.0000
8 Fe 0.0000 0.0000 0.5000
9 Fe 0.7523 0.2477 0.7523
10 Ge 0.5000 0.0000 0.5000
11 Fe 0.7523 0.2477 0.2477
12 Fe 0.7523 0.7523 0.2477
13 Fe 0.7523 0.7523 0.7523
14 Fe 0.2477 0.2477 0.7523
15 Fe 0.5000 0.5000 0.5000
16 Fe 0.0000 0.0000 0.0000

Its formation energy is -10.8 kJ per mole of atoms. For the theoretical density, the calculation gives 8.85 Mg/m³. The total energy comes out at -18.421 eV/atom.



Record 2
## FeGeH3 (SCAN)

Data for a crystal of FeGeH3 relaxed with PBEsol.

Cell lengths 3.5298, 3.5298, 3.5298 Å; angles 90.00, 90.00, 90.00 degrees
Fractional positions:
1 H 0.0000 0.0000 0.5000
2 Ge 0.0000 0.0000 0.0000
3 H 0.0000 0.5000 0.0000
4 H 0.5000 0.0000 0.0000
5 Fe 0.5000 0.5000 0.5000

Its polymorph energy (0 for the lowest one) is 0.508 eV/atom. For the theoretical density, the calculation gives 4.97 Mg/m³. The total energy comes out at -8.576 eV/atom.



Record 3
## FeGeH3 (SCAN)

Data for a crystal of FeGeH3 relaxed with PBEsol.

Cell lengths 3.3134, 3.3134, 3.3134 Å; angles 90.00, 90.00, 90.00 degrees
Fractional positions:
1 Fe 0.0000 0.0000 0.0000
2 H 0.5000 0.0000 0.0000
3 H 0.0000 0.0000 0.5000
4 H 0.0000 0.5000 0.0000
5 Ge 0.5000 0.5000 0.5000

Its polymorph energy (0 for the lowest one) is 0.000 eV/atom. For the theoretical density, the calculation gives 6.00 Mg/m³. The total energy comes out at -9.084 eV/atom.



Record 4
## Li2FeGeH (SCAN)

Data for a crystal of Li2FeGeH relaxed with PBEsol.

Cell lengths 3.4981, 3.4981, 4.3069 Å; angles 90.00, 90.00, 90.00 degrees
Fractional positions:
1 Ge 0.0000 0.0000 0.5000
2 H 0.0000 0.0000 0.0000
3 Li 0.0000 0.5000 0.0000
4 Li 0.5000 0.0000 0.0000
5 Fe 0.5000 0.5000 0.5000

For the theoretical density, the calculation gives 4.52 Mg/m³. The total energy comes out at -9.038 eV/atom.



Record 5
## HfFe6Ge6 (SCAN)

Data for a crystal of HfFe6Ge6 relaxed with PBEsol.

Cell lengths 4.9435, 4.9435, 7.9074 Å; angles 90.00, 90.00, 120.00 degrees
Fractional positions:
1 Ge 0.3333 0.6667 0.5000
2 Fe 0.5000 0.5000 0.2486
3 Ge 0.0000 0.0000 0.6589
4 Fe 0.5000 0.5000 0.7514
5 Ge 0.3333 0.6667 0.0000
6 Ge 0.6667 0.3333 0.0000
7 Hf 0.0000 0.0000 0.0000
8 Fe 0.5000 0.0000 0.7514
9 Ge 0.0000 0.0000 0.3411
10 Fe 0.5000 0.0000 0.2486
11 Ge 0.6667 0.3333 0.5000
12 Fe 0.0000 0.5000 0.7514
13 Fe 0.0000 0.5000 0.2486

Its formation energy is -24.2 kJ per mole of atoms. For the theoretical density, the calculation gives 9.42 Mg/m³. The total energy comes out at -22.249 eV/atom.



Record 6
## FeHg3Ge (SCAN)

Data for a crystal of FeHg3Ge relaxed with PBEsol.

Cell lengths 4.9209, 4.9209, 4.9209 Å; angles 90.00, 90.00, 90.00 degrees
Fractional positions:
1 Hg 0.0000 0.5000 0.0000
2 Hg 0.5000 0.0000 0.0000
3 Hg 0.0000 0.0000 0.5000
4 Fe 0.0000 0.0000 0.0000
5 Ge 0.5000 0.5000 0.5000

Its formation energy is 59.3 kJ per mole of atoms. For the theoretical density, the calculation gives 10.18 Mg/m³. The total energy comes out at -47.728 eV/atom.



Record 7
## HoFe4Ge2 (SCAN)

Data for a crystal of HoFe4Ge2 relaxed with PBEsol.

Cell lengths 3.7362, 7.0881, 7.0881 Å; angles 90.00, 90.00, 90.00 degrees
Fractional positions:
1 Ge 0.0000 0.2818 0.2818
2 Fe 0.0000 0.4157 0.8597
3 Ge 0.5000 0.7818 0.2182
4 Fe 0.5000 0.3597 0.0843
5 Fe 0.0000 0.8597 0.4157
6 Fe 0.5000 0.6403 0.9157
7 Ho 0.0000 0.0000 0.0000
8 Ge 0.0000 0.7182 0.7182
9 Fe 0.5000 0.0843 0.3597
10 Fe 0.0000 0.1403 0.5843
11 Fe 0.0000 0.5843 0.1403
12 Fe 0.5000 0.9157 0.6403
13 Ho 0.5000 0.5000 0.5000
14 Ge 0.5000 0.2182 0.7818

Its formation energy is -26.6 kJ per mole of atoms. For the theoretical density, the calculation gives 9.44 Mg/m³. The total energy comes out at -23.088 eV/atom.



Record 8
## FeGeIN2 (SCAN)

Data for a crystal of FeGeIN2 relaxed with PBEsol.

Cell lengths 3.7016, 3.7016, 6.3635 Å; angles 90.00, 90.00, 90.00 degrees
Fractional positions:
1 I 0.0000 0.0000 0.5000
2 Ge 0.0000 0.0000 0.0000
3 N 0.0000 0.5000 0.0000
4 N 0.5000 0.0000 0.0000
5 Fe 0.5000 0.5000 0.5000

The calculation puts the uncorrected formation energy at 6.75 eV per formula unit. For the theoretical density, the calculation gives 5.40 Mg/m³. The total energy comes out at -17.158 eV/atom.